Crystalline Ni3HgS at its relaxed geometry, computed with PBE.

Lattice parameters (Å, degrees): 4.744 4.744 4.744 90.00 90.00 90.00
Space group Pm-3m (No. 221)
Asymmetric unit:
1 Ni 0.000 0.000 0.500 [3 per cell]
2 Hg 0.000 0.000 0.000 [1 per cell]
3 S 0.500 0.500 0.500 [1 per cell]

Properties
E_tot = -2.878 eV per atom
DOS(E_F) = 2.37 states/eV/atom
raw formation energy = 142 kJ per mole of atoms
size of the total moment = 0.401 μB per atom
E above lowest polymorph = 7.39 eV per formula unit